VASP calculation (PBE) on a relaxed structure of Rb2CuSiF6.

The density comes out at 3.482 Mg/m³. Its total energy is -94.556 eV/cell. Its total moment is 1.95 μB/cell. The value obtained for the uncorrected formation energy is -2.460 eV/atom. As for the crystal system: tetragonal.

The structure belongs to space group I4/mmm (No. 139); the cell edges are 6.328, 6.328 and 8.968 Å and the angles 90.00°, 90.00° and 90.00°. The distinct sites, in fractional coordinates, are Rb at (0.000, 0.500, 0.250), Cu at (0.000, 0.000, 0.000), Si at (0.000, 0.000, 0.500), F at (0.000, 0.000, 0.308) and F at (0.193, 0.193, 0.500).

VASP calculation (PBE) on a relaxed structure of InAg2.

The density comes out at 8.675 Mg/m³. Its total energy is -31.614 eV/cell. The value obtained for the formation energy from the elements is 0.179 eV/atom. Its total moment is 0.00 μB/cell. As for the crystal system: tetragonal.

The structure belongs to space group I4/mcm (No. 140); the cell edges are 6.648, 6.648 and 5.726 Å and the angles 90.00°, 90.00° and 90.00°. The distinct sites, in fractional coordinates, are In at (0.000, 0.000, 0.250) and Ag at (0.151, 0.349, 0.000).

VASP calculation (PBE) on a relaxed structure of GdPd4Pt.

The density comes out at 12.232 Mg/m³. Its total energy is -175.009 eV/cell. The value obtained for the formation energy from the elements is -0.477 eV/atom. Its total moment is 28.57 μB/cell. As for the crystal system: cubic.

The structure belongs to space group F-43m (No. 216); the cell edges are 7.504, 7.504 and 7.504 Å and the angles 90.00°, 90.00° and 90.00°. The distinct sites, in fractional coordinates, are Gd at (0.000, 0.000, 0.000), Pd at (0.124, 0.124, 0.376) and Pt at (0.250, 0.250, 0.750).

VASP calculation (PBE) on a relaxed structure of Fe2IrW.

The density comes out at 15.209 Mg/m³. Its total energy is -78.065 eV/cell. The value obtained for the formation energy from the elements is -0.073 eV/atom. Its total moment is 6.81 μB/cell. As for the crystal system: tetragonal.

The structure belongs to space group I-4m2 (No. 119); the cell edges are 3.743, 3.743 and 7.600 Å and the angles 90.00°, 90.00° and 90.00°. The distinct sites, in fractional coordinates, are Fe at (0.000, 0.000, 0.000), Fe at (0.000, 0.500, 0.250), Ir at (0.000, 0.000, 0.500) and W at (0.000, 0.500, 0.750).

VASP calculation (PBE) on a relaxed structure of HoAlGe.

The density comes out at 7.223 Mg/m³. Its total energy is -59.276 eV/cell. The value obtained for the formation energy from the elements is -0.627 eV/atom. Its total moment is 0.00 μB/cell. As for the crystal system: tetragonal.

The structure belongs to space group I4/mmm (No. 139); the cell edges are 4.114, 4.114 and 14.374 Å and the angles 90.00°, 90.00° and 90.00°. The distinct sites, in fractional coordinates, are Ho at (0.000, 0.000, 0.162), Al at (0.000, 0.500, 0.000) and Ge at (0.000, 0.000, 0.366).

VASP calculation (PBE) on a relaxed structure of Y2ErThBi5.

The density comes out at 6.899 Mg/m³. Its total energy is -42.477 eV/cell. The value obtained for the formation energy from the elements is 0.204 eV/atom. Its total moment is 0.00 μB/cell. As for the crystal system: tetragonal.

The structure belongs to space group P4/mmm (No. 123); the cell edges are 5.733, 5.733 and 11.879 Å and the angles 90.00°, 90.00° and 90.00°. The distinct sites, in fractional coordinates, are Y at (0.000, 0.000, 0.231), Er at (0.500, 0.500, 0.500), Th at (0.500, 0.500, 0.000), Bi at (0.000, 0.000, 0.500), Bi at (0.000, 0.500, 0.000) and Bi at (0.500, 0.500, 0.259).

VASP calculation (PBE) on a relaxed structure of Nd6IrOs2I3.

The density comes out at 8.108 Mg/m³. Its total energy is -144.789 eV/cell. Its total moment is 0.00 μB/cell. The value obtained for the uncorrected formation energy is -0.651 eV/atom. As for the crystal system: monoclinic.

The structure belongs to space group C2/m (No. 12); the cell edges are 7.278, 12.605 and 8.476 Å and the angles 90.00°, 106.65° and 90.00°. The distinct sites, in fractional coordinates, are Nd at (0.224, 0.000, 0.185), Nd at (0.231, 0.331, 0.185), Ir at (0.000, 0.500, 0.000), Os at (0.000, 0.167, 0.000), I at (0.000, 0.000, 0.500) and I at (0.000, 0.333, 0.500).

VASP calculation (PBE) on a relaxed structure of TbLuZn2.

The density comes out at 8.692 Mg/m³. Its total energy is -13.064 eV/cell. The value obtained for the formation energy from the elements is -0.341 eV/atom. Its total moment is 0.03 μB/cell. As for the crystal system: tetragonal.

The structure belongs to space group P4/mmm (No. 123); the cell edges are 3.522, 3.522 and 7.155 Å and the angles 90.00°, 90.00° and 90.00°. The distinct sites, in fractional coordinates, are Tb at (0.000, 0.000, 0.000), Lu at (0.000, 0.000, 0.500) and Zn at (0.500, 0.500, 0.264).